VASP calculation (PBE-GGA) on a geometry-optimized VInTe4 structure.

Output
theoretical density: 5.3 g cm⁻³
calculated volume: 35.4 A^3/atom
E_form (uncorrected): -0.109 eV/atom
D(E_F): 6.77 states/eV per cell

Cell lengths 5.3170, 10.1584, 8.8362 Å; angles 111.82, 90.00, 105.17 degrees
Last column: magnetic moment on the atom in μB.
Element x y z (fractional)
V 0.8220 0.6439 0.6717  1.19
V 0.1780 0.3561 0.3283  1.19
In 0.8499 0.6997 0.2344  0.01
In 0.1501 0.3003 0.7656  0.01
Te 0.9225 0.8450 0.9827  -0.07
Te 0.7104 0.4208 0.3757  -0.12
Te 0.0775 0.1550 0.0173  -0.07
Te 0.7264 0.4527 0.8344  -0.05
Te 0.2736 0.5473 0.1656  -0.05
Te 0.9322 0.8644 0.5852  -0.12
Te 0.0678 0.1356 0.4148  -0.12
Te 0.2896 0.5792 0.6243  -0.12



VASP calculation (PBE-GGA) on a geometry-optimized Ga2BiI8 structure.

Output
theoretical density: 3.5 g cm⁻³
calculated volume: 58.9 A^3/atom
E_form (uncorrected): -0.349 eV/atom
D(E_F): 4.85 states/eV per cell
relative energy among the computed polymorphs: 57.3 meV per atom

Cell lengths 9.8437, 9.1043, 9.1042 Å; angles 86.23, 63.79, 63.79 degrees
Last column: magnetic moment on the atom in μB.
Element x y z (fractional)
Ga 0.4483 0.8207 0.8207  0.01
Ga 0.5517 0.1793 0.1793  0.01
I 0.3014 0.1367 0.8088  0.04
I 0.3014 0.8088 0.1367  0.04
I 0.2317 0.3344 0.3344  0.00
I 0.7059 0.2911 0.2911  0.00
I 0.7683 0.6656 0.6656  0.00
I 0.6986 0.8633 0.1912  0.04
I 0.6986 0.1912 0.8633  0.04
I 0.2941 0.7089 0.7089  0.00
Bi 0.0000 0.0000 0.0000  0.54



VASP calculation (PBE-GGA) on a geometry-optimized AgMo2Pb structure.

Output
theoretical density: 11.1 g cm⁻³
formation enthalpy at 0 K: 683 meV per atom
calculated volume: 19.0 A^3/atom
D(E_F): 2.68 states/eV per cell

Cell lengths 4.7861, 2.8931, 5.5320 Å; angles 81.75, 90.00, 90.00 degrees
Element x y z (fractional)
Mo 0.0000 0.0718 0.9656
Mo 0.0000 0.4282 0.5344
Ag 0.5000 0.7500 0.7500
Pb 0.5000 0.2500 0.2500



VASP calculation (PBE-GGA) on a geometry-optimized CaCd2HgPt structure.

Output
theoretical density: 7.3 g cm⁻³
formation enthalpy at 0 K: -299 meV per atom
calculated volume: 30.0 A^3/atom
D(E_F): 1.52 states/eV per cell

Cell lengths 5.2776, 5.2776, 5.3851 Å; angles 90.00, 90.00, 90.00 degrees
Element x y z (fractional)
Cd 0.5000 0.0000 0.0000
Cd 0.0000 0.5000 0.0000
Hg 0.5000 0.5000 0.5000
Ca 0.0000 0.0000 0.5000
Pt 0.0000 0.0000 0.0000



VASP calculation (PBE-GGA) on a geometry-optimized NaEuZnAs structure.

Output
theoretical density: 5.5 g cm⁻³
formation enthalpy at 0 K: -519 meV per atom
calculated volume: 23.9 A^3/atom

Cell lengths 5.1326, 5.1326, 5.1326 Å; angles 60.00, 60.00, 60.00 degrees
Last column: magnetic moment on the atom in μB.
Element x y z (fractional)
Zn 0.7500 0.7500 0.7500  0.01
Eu 0.5000 0.5000 0.5000  6.83
As 0.2500 0.2500 0.2500  -0.06
Na 0.0000 0.0000 0.0000  0.00



VASP calculation (PBE-GGA) on a geometry-optimized La2Er7Tm3 structure.

Output
theoretical density: 8.5 g cm⁻³
formation enthalpy at 0 K: 79 meV per atom
calculated volume: 31.8 A^3/atom
D(E_F): 18.41 states/eV per cell
relative energy among the computed polymorphs: 0.0 meV per atom

Cell lengths 3.5138, 6.3439, 17.1016 Å; angles 90.10, 90.00, 90.00 degrees
Element x y z (fractional)
Er 0.5000 0.8282 0.1650
Er 0.0000 0.6794 0.8386
Er 0.5000 0.7578 0.4984
Er 0.0000 0.3206 0.1614
Er 0.5000 0.1718 0.8350
Er 0.0000 0.0000 0.0000
Er 0.5000 0.2422 0.5016
Tm 0.5000 0.5000 0.0000
Tm 0.0000 0.0001 0.6570
Tm 0.0000 0.9999 0.3430
La 0.5000 0.4896 0.3246
La 0.5000 0.5104 0.6754



VASP calculation (PBE-GGA) on a geometry-optimized Bi2AsS4 structure.

Output
theoretical density: 5.2 g cm⁻³
calculated volume: 28.2 A^3/atom
E_form (uncorrected): -0.002 eV/atom
D(E_F): 1.42 states/eV per cell

Cell lengths 7.1292, 7.1292, 6.3632 Å; angles 124.07, 124.07, 90.00 degrees
Element x y z (fractional)
As 0.5000 0.5000 0.0000
S 0.6318 0.6318 0.7964
S 0.1646 0.1646 0.7964
S 0.3682 0.8354 0.2036
S 0.8354 0.3682 0.2036
Bi 0.7500 0.2500 0.5000
Bi 0.2500 0.7500 0.5000



VASP calculation (PBE-GGA) on a geometry-optimized LiBe2Ag structure.

Output
theoretical density: 4.2 g cm⁻³
formation enthalpy at 0 K: 365 meV per atom
calculated volume: 13.2 A^3/atom
D(E_F): 2.19 states/eV per cell
relative energy among the computed polymorphs: 265.7 meV per atom

Cell lengths 8.5800, 8.5800, 8.5800 Å; angles 18.01, 18.01, 18.01 degrees
Element x y z (fractional)
Be 0.4988 0.4988 0.4988
Be 0.0012 0.0012 0.0012
Ag 0.7500 0.7500 0.7500
Li 0.2500 0.2500 0.2500



The calculation returns the following raw total energy values, one per record and in order: -4.180; -2.380; -6.373; -2.334; -4.898; -4.522; -4.134; -2.689 eV per atom.